1.
The following is a PBE calculation of crystalline MgMnSi2 at its relaxed geometry, from the Alexandria database.

Summary:
- formation energy without anion corrections (eV per atom) = 0.0592
- calculated density (g cm⁻³) = 3.9

Lattice parameters (Å, degrees): 3.7537 3.7537 8.2014 90.00 90.00 90.00
Last column: nearest neighbours and their distance in Å.
Space group I-4m2 (No. 119)
Asymmetric unit:
Mg1 0.0000 0.0000 0.0000 [2 per cell]  8 Si 2.65-2.78, 4 Mn 2.78
Mn1 0.0000 0.5000 0.2500 [2 per cell]  8 Si 2.65-2.78, 4 Mg 2.78
Si1 0.0000 0.0000 0.5000 [2 per cell]  4 Mg 2.65, 4 Mn 2.78, 4 Si 2.78
Si2 0.0000 0.5000 0.7500 [2 per cell]  4 Mn 2.65, 4 Mg 2.78, 4 Si 2.78

2.
The following is a PBE calculation of crystalline CuIrSe2 at its relaxed geometry, from the Alexandria database.

Summary:
- formation energy without anion corrections (eV per atom) = -0.1376
- calculated density (g cm⁻³) = 7.8

Lattice parameters (Å, degrees): 3.8025 3.8025 21.0699 90.00 90.00 120.00
Last column: nearest neighbours and their distance in Å.
Space group R-3m (No. 166, hexagonal axes)
Asymmetric unit:
Cu1 0.0000 0.0000 0.0000 [3 per cell]  2 Se 2.29
Ir1 0.0000 0.0000 0.5000 [3 per cell]  6 Se 2.51
Se1 0.0000 0.0000 0.1087 [6 per cell]  1 Cu 2.29, 3 Ir 2.51

3.
The following is a PBE calculation of crystalline KSrHgPt at its relaxed geometry, from the Alexandria database.

Summary:
- energy of formation (eV per atom) = -0.30
- calculated density (g cm⁻³) = 7.5

Lattice parameters (Å, degrees): 7.7265 7.7265 7.7265 90.00 90.00 90.00
Last column: nearest neighbours and their distance in Å.
Space group F-43m (No. 216)
Asymmetric unit:
K1 0.0000 0.0000 0.0000 [4 per cell]  4 Pt 3.35, 4 Hg 3.35
Sr1 0.0000 0.0000 0.5000 [4 per cell]  4 Hg 3.35, 4 Pt 3.35
Hg1 0.2500 0.2500 0.7500 [4 per cell]  4 K 3.35, 4 Sr 3.35
Pt1 0.2500 0.2500 0.2500 [4 per cell]  4 Sr 3.35, 4 K 3.35

4.
The following is a PBE calculation of crystalline Zr3H2S2 at its relaxed geometry, from the Alexandria database.

Summary:
- total energy (eV for the cell shown) = -94.5
- calculated density (g cm⁻³) = 5.5

Lattice parameters (Å, degrees): 5.3611 7.0703 5.9925 90.00 115.81 90.00
Last column: nearest neighbours and their distance in Å.
Space group P2_1/c (No. 14)
Asymmetric unit:
Zr1 0.0000 0.0000 0.0000 [2 per cell]  2 H 2.02
Zr2 0.4156 0.1388 0.7163 [4 per cell]  3 H 2.07-2.18
H1 0.3737 0.1000 0.0479 [4 per cell]  4 Zr 2.02-2.18, 1 H 2.20
S1 0.1790 0.6574 0.9367 [4 per cell]  6 Zr 2.61-2.91, 1 H 2.92

5.
The following is a PBE calculation of crystalline La2Nd3Dy6Y at its relaxed geometry, from the Alexandria database.

Summary:
- energy of formation (eV per atom) = 0.02
- calculated density (g cm⁻³) = 7.4

Lattice parameters (Å, degrees): 6.2721 10.8633 11.9065 90.00 100.09 90.00
Last column: nearest neighbours and their distance in Å.
Space group C2/m (No. 12)
Asymmetric unit:
La1 0.0000 0.1662 0.0000 [4 per cell]  6 Dy 3.61, 3 La 3.61-3.63, 3 Y 3.62-3.63
Nd1 0.0000 0.0000 0.5000 [2 per cell]  6 Dy 3.59, 6 Nd 3.62
Nd2 0.0000 0.3332 0.5000 [4 per cell]  6 Dy 3.59, 6 Nd 3.62
Dy1 0.2495 0.1664 0.7490 [8 per cell]  3 Nd 3.59, 2 La 3.61, 1 Y 3.61, 6 Dy 3.62
Dy2 0.2486 0.5000 0.7487 [4 per cell]  3 Nd 3.59, 1 Y 3.61, 2 La 3.61, 6 Dy 3.62
Y1 0.0000 0.5000 0.0000 [2 per cell]  6 Dy 3.61, 6 La 3.62-3.63

6.
The following is a PBE calculation of crystalline Mn3SCl at its relaxed geometry, from the Alexandria database.

Summary:
- formation energy without anion corrections (eV per atom) = 0.2625
- E above lowest polymorph (eV per atom) = 0.000
- calculated density (g cm⁻³) = 4.1

Lattice parameters (Å, degrees): 4.5549 4.5549 4.5549 90.00 90.00 90.00
Last column: nearest neighbours and their distance in Å.
Space group Pm-3m (No. 221)
Asymmetric unit:
Mn1 0.0000 0.0000 0.5000 [3 per cell]  2 S 2.28
S1 0.0000 0.0000 0.0000 [1 per cell]  6 Mn 2.28
Cl1 0.5000 0.5000 0.5000 [1 per cell]  12 Mn 3.22

7.
The following is a PBE calculation of crystalline SmMg2GaAu4 at its relaxed geometry, from the Alexandria database.

Summary:
- energy of formation (eV per atom) = -0.57
- calculated density (g cm⁻³) = 10.9

Lattice parameters (Å, degrees): 4.6168 4.6168 26.1365 90.00 90.00 120.00
Last column: nearest neighbours and their distance in Å.
Space group R-3m (No. 166, hexagonal axes)
Asymmetric unit:
Sm1 0.0000 0.0000 0.0000 [3 per cell]  8 Au 3.09-3.31
Mg1 0.0000 0.0000 0.2405 [6 per cell]  7 Au 2.80-2.97
Ga1 0.0000 0.0000 0.5000 [3 per cell]  8 Au 2.79-2.86
Au1 0.0000 0.0000 0.1267 [6 per cell]  4 Mg 2.81-2.97, 3 Ga 2.86
Au2 0.0000 0.0000 0.3933 [6 per cell]  1 Ga 2.79, 3 Mg 2.80, 3 Sm 3.09

8.
The following is a PBE calculation of crystalline PrThGe2 at its relaxed geometry, from the Alexandria database.

Summary:
- energy of formation (eV per atom) = -0.77
- calculated density (g cm⁻³) = 8.3

Lattice parameters (Å, degrees): 4.2204 4.3944 11.1611 90.00 90.00 90.00
Last column: nearest neighbours and their distance in Å.
Space group Amm2 (No. 38)
Asymmetric unit:
Pr1 0.0000 0.0000 0.0000 [2 per cell]  7 Ge 3.07-3.33
Th1 0.5000 0.0000 0.2746 [2 per cell]  7 Ge 3.10-3.31
Ge1 0.0000 0.0000 0.7246 [2 per cell]  2 Ge 2.85, 1 Pr 3.07, 4 Th 3.10
Ge2 0.5000 0.0000 0.5531 [2 per cell]  2 Ge 2.85, 4 Pr 3.10, 1 Th 3.11

9.
The following is a PBE calculation of crystalline CdSiO3 at its relaxed geometry, from the Alexandria database.

Summary:
- formation energy without anion corrections (eV per atom) = -2.0993
- calculated density (g cm⁻³) = 4.7

Lattice parameters (Å, degrees): 9.8237 9.7820 5.5062 90.00 90.00 90.00
Last column: nearest neighbours and their distance in Å.
Space group Pbcn (No. 60)
Asymmetric unit:
Cd1 0.0000 0.1017 0.2500 [4 per cell]  6 O 2.27-2.40
Cd2 0.0000 0.2753 0.7500 [4 per cell]  4 O 2.17-2.36
Si1 0.2074 0.4171 0.0916 [8 per cell]  4 O 1.62-1.68
O1 0.1262 0.0896 0.5940 [8 per cell]  1 Si 1.64
O2 0.1299 0.2711 0.0692 [8 per cell]  1 Si 1.62
O3 0.1557 0.4982 0.3418 [8 per cell]  2 Si 1.67-1.68

10.
The following is a PBE calculation of crystalline SiHg2Te at its relaxed geometry, from the Alexandria database.

Summary:
- formation energy without anion corrections (eV per atom) = 0.3918
- E above lowest polymorph (eV per atom) = 0.277
- calculated density (g cm⁻³) = 8.9

Lattice parameters (Å, degrees): 5.6908 11.9282 3.0797 90.00 93.28 90.00
Last column: nearest neighbours and their distance in Å.
Space group C2/m (No. 12)
Asymmetric unit:
Si1 0.0000 0.0000 0.0000 [2 per cell]  2 Te 2.85, 2 Si 3.08
Hg1 0.2500 0.2500 0.5000 [4 per cell]  4 Hg 2.85-3.08
Te1 0.0000 0.5000 0.0000 [2 per cell]  2 Si 2.85, 2 Te 3.08

11.
The following is a PBE calculation of crystalline CsUTeO5 at its relaxed geometry, from the Alexandria database.

Summary:
- formation energy without anion corrections (eV per atom) = -2.1687
- calculated density (g cm⁻³) = 5.9

Lattice parameters (Å, degrees): 9.2857 12.1819 6.6732 90.00 120.59 90.00
Last column: nearest neighbours and their distance in Å.
Space group C2/c (No. 15)
Asymmetric unit:
Cs1 0.0000 0.0954 0.2500 [4 per cell]  4 O 3.04-3.31
U1 0.2500 0.2500 0.0000 [4 per cell]  2 O 1.89
Te1 0.0000 0.4794 0.2500 [4 per cell]  2 O 1.91
O1 0.0000 0.1972 0.7500 [4 per cell]  2 U 2.15
O2 0.1775 0.2950 0.2059 [8 per cell]  1 U 1.89
O3 0.1908 0.4271 0.8575 [8 per cell]  1 Te 1.91

12.
The following is a PBE calculation of crystalline Al6Zn7 at its relaxed geometry, from the Alexandria database.

Summary:
- energy of formation (eV per atom) = 0.09
- calculated density (g cm⁻³) = 4.9

Lattice parameters (Å, degrees): 5.2168 5.2168 26.8249 90.00 90.00 120.00
Last column: nearest neighbours and their distance in Å.
Space group R-3m (No. 166, hexagonal axes)
Asymmetric unit:
Al1 0.0000 0.0000 0.0482 [6 per cell]  2 Al 2.58-2.84, 6 Zn 2.80
Al2 0.0000 0.0000 0.1539 [6 per cell]  4 Al 2.84-3.09, 6 Zn 2.92-3.03
Al3 0.0000 0.0000 0.3336 [6 per cell]  6 Zn 2.76, 3 Al 3.01
Zn1 0.0000 0.0000 0.5000 [3 per cell]  6 Zn 2.64
Zn2 0.0027 0.5013 0.9140 [18 per cell]  5 Zn 2.59-2.64, 4 Al 2.76-2.80

13.
The following is a PBE calculation of crystalline HoPuIn4 at its relaxed geometry, from the Alexandria database.

Summary:
- energy of formation (eV per atom) = -0.27
- E above lowest polymorph (eV per atom) = 0.000
- calculated density (g cm⁻³) = 9.4

Lattice parameters (Å, degrees): 3.4314 5.0482 8.8299 90.00 90.02 90.00
Last column: nearest neighbours and their distance in Å.
Space group P2/m (No. 10)
Asymmetric unit:
Ho1 0.0000 0.0000 0.0000 [1 per cell]  12 In 3.38-3.40, 2 Ho 3.43
Pu1 0.0000 0.5000 0.5000 [1 per cell]  12 In 3.39-3.43, 2 Pu 3.43
In1 0.4982 0.0000 0.3315 [2 per cell]  3 In 2.92-2.98
In2 0.4985 0.5000 0.8356 [2 per cell]  3 In 2.90-2.92

14.
The following is a PBE calculation of crystalline Ce2PaAu at its relaxed geometry, from the Alexandria database.

Summary:
- energy of formation (eV per atom) = -0.23
- E above lowest polymorph (eV per atom) = 0.000
- calculated density (g cm⁻³) = 11.6

Lattice parameters (Å, degrees): 3.4471 3.4471 8.4974 90.00 90.00 90.00
Last column: nearest neighbours and their distance in Å.
Space group P4/mmm (No. 123)
Asymmetric unit:
Ce1 0.0000 0.0000 0.2403 [2 per cell]  4 Au 3.18, 4 Pa 3.29, 4 Ce 3.45
Pa1 0.5000 0.5000 0.5000 [1 per cell]  8 Ce 3.29, 4 Pa 3.45
Au1 0.5000 0.5000 0.0000 [1 per cell]  8 Ce 3.18, 4 Au 3.45

15.
The following is a PBE calculation of crystalline GaCoSn2 at its relaxed geometry, from the Alexandria database.

Summary:
- energy of formation (eV per atom) = 0.15
- calculated density (g cm⁻³) = 7.2

Lattice parameters (Å, degrees): 3.3278 3.3278 26.5505 90.00 90.00 120.00
Last column: nearest neighbours and their distance in Å.
Space group R-3m (No. 166, hexagonal axes)
Asymmetric unit:
Ga1 0.0000 0.0000 0.0000 [3 per cell]  2 Sn 2.71
Co1 0.0000 0.0000 0.5000 [3 per cell]  6 Sn 2.57
Sn1 0.0000 0.0000 0.1023 [6 per cell]  3 Co 2.57, 1 Ga 2.71

16.
The following is a PBE calculation of crystalline La7Ni2P at its relaxed geometry, from the Alexandria database.

Summary:
- energy of formation (eV per atom) = -0.38
- calculated density (g cm⁻³) = 6.5

Lattice parameters (Å, degrees): 12.2172 12.2172 3.8239 90.00 90.00 90.00
Last column: nearest neighbours and their distance in Å.
Space group P4/mbm (No. 127)
Asymmetric unit:
La1 0.0000 0.5000 0.0000 [2 per cell]  4 Ni 2.98
La2 0.0585 0.1963 0.0000 [8 per cell]  2 Ni 2.97, 2 P 3.15
La3 0.1802 0.6802 0.5000 [4 per cell]  1 Ni 3.24
Ni1 0.1326 0.3674 0.5000 [4 per cell]  7 La 2.97-3.24
P1 0.0000 0.0000 0.5000 [2 per cell]  8 La 3.15

17.
The following is a PBE calculation of crystalline Pr2Mg3Zn3 at its relaxed geometry, from the Alexandria database.

Summary:
- energy of formation (eV per atom) = -0.28
- calculated density (g cm⁻³) = 5.1

Lattice parameters (Å, degrees): 5.0247 5.0247 24.6835 90.00 90.00 120.00
Last column: nearest neighbours and their distance in Å.
Space group R3m (No. 160, hexagonal axes)
Asymmetric unit:
Pr1 0.0000 0.0000 0.0000 [3 per cell]  5 Zn 2.99-3.11, 3 Mg 3.14
Pr2 0.0000 0.0000 0.4893 [3 per cell]  7 Zn 3.03-3.16, 1 Mg 3.17
Mg1 0.0000 0.0000 0.2412 [3 per cell]  5 Zn 2.96-3.05, 3 Mg 3.09
Mg2 0.0000 0.0000 0.6178 [3 per cell]  4 Mg 3.09-3.18, 4 Pr 3.14-3.17
Mg3 0.0000 0.0000 0.7465 [3 per cell]  7 Zn 3.08-3.14, 1 Mg 3.18
Zn1 0.0000 0.0000 0.1212 [3 per cell]  4 Mg 2.96-3.08, 4 Pr 2.99-3.03
Zn2 0.0000 0.0000 0.3647 [3 per cell]  4 Pr 3.00-3.07, 4 Mg 3.05-3.14
Zn3 0.0000 0.0000 0.8739 [3 per cell]  4 Mg 3.02-3.14, 4 Pr 3.11-3.16

18.
The following is a PBE calculation of crystalline Ta2AlMo at its relaxed geometry, from the Alexandria database.

Summary:
- energy of formation (eV per atom) = -0.11
- calculated density (g cm⁻³) = 11.9

Lattice parameters (Å, degrees): 3.5264 4.3274 4.4208 90.00 90.00 90.00
Last column: nearest neighbours and their distance in Å.
Space group Pmmm (No. 47)
Asymmetric unit:
Ta1 0.0000 0.0000 0.0000 [1 per cell]  4 Mo 2.79, 4 Ta 2.83, 4 Al 3.09
Ta2 0.5000 0.0000 0.5000 [1 per cell]  4 Al 2.79, 4 Ta 2.83, 4 Mo 3.09
Al1 0.0000 0.5000 0.5000 [1 per cell]  8 Ta 2.79-3.09, 4 Mo 2.83
Mo1 0.5000 0.5000 0.0000 [1 per cell]  8 Ta 2.79-3.09, 4 Al 2.83

19.
The following is a PBE calculation of crystalline BaTlNi2 at its relaxed geometry, from the Alexandria database.

Summary:
- energy of formation (eV per atom) = 0.23
- calculated density (g cm⁻³) = 7.8

Lattice parameters (Å, degrees): 4.7148 5.7933 7.1652 90.00 90.00 90.00
Last column: nearest neighbours and their distance in Å.
Space group Immm (No. 71)
Asymmetric unit:
Ba1 0.0000 0.0000 0.0000 [2 per cell]  8 Ni 3.14-3.35
Tl1 0.0000 0.0000 0.5000 [2 per cell]  4 Ni 2.65
Ni1 0.0000 0.5000 0.1678 [4 per cell]  1 Ni 2.40, 2 Tl 2.65

20.
The following is a PBE calculation of crystalline TaCI at its relaxed geometry, from the Alexandria database.

Summary:
- formation energy without anion corrections (eV per atom) = 0.2471
- calculated density (g cm⁻³) = 7.9

Lattice parameters (Å, degrees): 3.7748 5.4407 7.0458 69.26 81.11 87.83
Last column: nearest neighbours and their distance in Å.
Space group P1 (No. 1)
Asymmetric unit:
Ta1 0.0000 0.0000 0.0000 [1 per cell]  3 C 2.02-2.23
Ta2 0.1929 0.4345 0.1804 [1 per cell]  3 C 2.08-2.19
C1 0.4720 0.8138 0.0197 [1 per cell]  1 C 1.40
C2 0.7191 0.6177 0.0968 [1 per cell]  1 C 1.40
I1 0.1196 0.4040 0.6206 [1 per cell]  2 Ta 2.78-3.02
I2 0.6940 0.9999 0.3866 [1 per cell]  3 Ta 2.79-3.06